1.
# SiPF2

A geometry-optimized SiPF2 structure (PBEsol, Alexandria).

Calculated volume, Å³/f.u.: 46
Space-group type: I-42d, No. 122
VASP energy, eV/atom: -4.77

abc: 3.476 3.476 7.966
angles: 102.60 102.60 90.00
Sites, in units of the cell vectors:
P: 0.250 0.750 0.500
F: 0.382 0.375 0.250
Si: 0.750 0.250 0.500
Si: 0.500 0.500 0.000
P: 0.000 0.000 0.000
F: 0.125 0.618 0.750
F: 0.625 0.132 0.750
F: 0.868 0.875 0.250

***

2.
# SnPF2

A geometry-optimized SnPF2 structure (PBEsol, Alexandria).

Calculated volume, Å³/f.u.: 58
Space-group type: Fm-3m, No. 225
VASP energy, eV/atom: -4.08

abc: 4.349 4.349 4.349
angles: 60.00 60.00 60.00
Sites, in units of the cell vectors:
P: 0.000 0.000 0.000
F: 0.250 0.250 0.250
Sn: 0.500 0.500 0.500
F: 0.750 0.750 0.750

***

3.
# Sr2PF

A geometry-optimized Sr2PF structure (PBEsol, Alexandria).

Calculated volume, Å³/f.u.: 89
Space-group type: Fm-3m, No. 225
VASP energy, eV/atom: -4.74

abc: 5.010 5.010 5.010
angles: 60.00 60.00 60.00
Sites, in units of the cell vectors:
Sr: 0.250 0.250 0.250
F: 0.000 0.000 0.000
Sr: 0.750 0.750 0.750
P: 0.500 0.500 0.500

***

4.
# SrZrP2F

A geometry-optimized SrZrP2F structure (PBEsol, Alexandria).

Calculated volume, Å³/f.u.: 99
Space-group type: P4/mmm, No. 123
VASP energy, eV/atom: -5.32

abc: 4.209 4.861 4.861
angles: 90.00 90.00 90.00
Each line ends with the local moment (μB).
Sites, in units of the cell vectors:
F: 0.000 0.000 0.000  0.00
P: 0.000 0.000 0.500  -0.02
Zr: 0.500 0.500 0.500  0.56
P: 0.000 0.500 0.000  -0.02
Sr: 0.500 0.000 0.000  0.05

***

5.
# Ta2PF

A geometry-optimized Ta2PF structure (PBEsol, Alexandria).

Calculated volume, Å³/f.u.: 57
Space-group type: I-42d, No. 122
VASP energy, eV/atom: -8.70

abc: 5.308 5.308 5.308
angles: 106.68 106.68 115.20
Sites, in units of the cell vectors:
Ta: 0.625 0.173 0.048
Ta: 0.125 0.577 0.952
F: 0.500 0.500 0.000
P: 0.000 0.000 0.000
F: 0.750 0.250 0.500
Ta: 0.827 0.875 0.452
Ta: 0.423 0.375 0.548
P: 0.250 0.750 0.500

***

6.
# TaP2F

A geometry-optimized TaP2F structure (PBEsol, Alexandria).

Calculated volume, Å³/f.u.: 79
Space-group type: I-42d, No. 122
VASP energy, eV/atom: -6.49

abc: 5.446 5.446 6.597
angles: 114.38 114.38 90.00
Sites, in units of the cell vectors:
P: 0.125 0.128 0.750
P: 0.625 0.622 0.750
Ta: 0.250 0.750 0.500
F: 0.500 0.500 0.000
P: 0.872 0.375 0.250
Ta: 0.000 0.000 0.000
P: 0.378 0.875 0.250
F: 0.750 0.250 0.500